Density functional theory data (PBE-GGA) for crystalline Pm2Au at its relaxed geometry.

Cell: 6.806 6.806 6.806 Å, 148.43 148.43 45.25°
Sites, in units of the cell vectors:
Pm 0.144 0.144 0.000
Pm 0.856 0.856 0.000
Au 0.500 0.500 0.000

Crystal system: tetragonal
Energy above the lowest structure with this stoichiometry (meV per atom): 78
Volume (Å³/cell): 86.1
ΔH_f (0 K) (eV/atom): -0.490
Total magnetic moment (μB per atom): 0.2219